Crystalline Na5WO5 at its relaxed geometry, computed with PBE with a Hubbard U.

Values from the calculation:
Energy above the lowest structure with this stoichiometry: 24 meV per atom
Total DFT energy (no corrections): -114.09 eV for the cell shown

Unit cell a=5.8298 b=5.8298 c=10.3399 alpha=80.41 beta=80.41 gamma=112.85
With the nearest neighbours (Å) after each atom.
Fractional coordinates of all 22 atoms:
Na (0.2805, 0.0392, 0.4188)  5 O 2.34-2.59
Na (0.4695, 0.2209, 0.0643)  5 O 2.41-2.56
Na (0.4067, 0.5933, 0.2500)  5 O 2.32-2.42
Na (0.0392, 0.2805, 0.9188)  5 O 2.34-2.59
Na (0.2209, 0.4695, 0.5643)  5 O 2.41-2.56
Na (0.7791, 0.5305, 0.4357)  5 O 2.41-2.56
Na (0.9608, 0.7195, 0.0812)  5 O 2.34-2.59
Na (0.5933, 0.4067, 0.7500)  5 O 2.32-2.42
Na (0.5305, 0.7791, 0.9357)  5 O 2.41-2.56
Na (0.7195, 0.9608, 0.5812)  5 O 2.34-2.59
W (0.8534, 0.1466, 0.2500)  5 O 1.92-1.96
W (0.1466, 0.8534, 0.7500)  5 O 1.92-1.96
O (0.1612, 0.3951, 0.1121)  1 W 1.95
O (0.0172, 0.2758, 0.3897)  1 W 1.96
O (0.3951, 0.1612, 0.6121)  1 W 1.95
O (0.2758, 0.0172, 0.8897)  1 W 1.96
O (0.6558, 0.3442, 0.2500)  1 W 1.92
O (0.3442, 0.6558, 0.7500)  1 W 1.92
O (0.7242, 0.9828, 0.1103)  1 W 1.96
O (0.6049, 0.8388, 0.3879)  1 W 1.95
O (0.9828, 0.7242, 0.6103)  1 W 1.96
O (0.8388, 0.6049, 0.8879)  1 W 1.95